! Li2VO3 (PBE+U, optimized geometry); values from VASP
&SYSTEM
  ibrav = 0, nat = 12, ntyp = 3
/
ATOMIC_SPECIES
Li 6.94 Li.upf
V 50.94 V.upf
O 16.00 O.upf
CELL_PARAMETERS angstrom
5.0004 0.0000 0.0000
-2.4857 4.4883 0.0000
-1.0175 -1.5236 4.8270
ATOMIC_POSITIONS crystal
Li 0.0000 0.0000 0.0000
Li 0.1632 0.8426 0.4944
Li 0.5000 0.5000 0.5000
Li 0.8368 0.1574 0.5056
V 0.3361 0.6753 0.9973
V 0.6639 0.3247 0.0027
O 0.0683 0.4303 0.2259
O 0.2859 0.2773 0.7693
O 0.4313 0.0763 0.2255
O 0.5687 0.9237 0.7745
O 0.7141 0.7227 0.2307
O 0.9317 0.5697 0.7741
! Space group: P-1, No. 2
! V (Å³/cell): 108
! E (eV/f.u.): -38.9
! Crystal system: triclinic